The following is a DFT calculation (PBE) of crystalline CaNd3Zn2 at its relaxed geometry.

Computed properties:
**VASP energy**: -3.321 eV per atom
**Energy relative to the elements**: -0.178 eV per atom
**Total magnetic moment**: 0.00 Bohr magnetons per cell

Structure (CIF):
```
data_CaNd3Zn2
_space_group_name_H-M_alt 'P m c 21'
_space_group_IT_number 26
_cell_length_a 5.216
_cell_length_b 9.439
_cell_length_c 6.971
_cell_angle_alpha 90.00
_cell_angle_beta 90.00
_cell_angle_gamma 90.00
loop_
_space_group_symop_operation_xyz
'x,y,z'
'-x,-y,z+1/2'
'-x,y,z'
'x,-y,z+1/2'
loop_
_atom_site_label
_atom_site_fract_x
_atom_site_fract_y
_atom_site_fract_z
Ca1 0.000 0.057 0.000
Nd1 0.000 0.330 0.649
Nd2 0.500 0.168 0.319
Nd3 0.500 0.442 0.976
Zn1 0.000 0.349 0.216
Zn2 0.500 0.153 0.755
```